one.
Computed, not measured: an optimized crystal structure of CePuTl4 at the PBE level of DFT.

extended XYZ file:
```
6
Lattice="6.2367 0.0000 0.0000 3.1184 5.4012 0.0000 3.1184 1.8004 5.0923" Properties=species:S:1:pos:R:3 pbc="T T T"
Tl 6.2367 1.8005 3.1826
Tl 4.6776 4.5009 3.1826
Tl 6.2367 3.6008 0.6366
Tl 7.7958 4.5009 3.1826
Pu 3.1184 1.8004 1.2731
Ce 0.0000 0.0000 0.0000
```

Values from the calculation:
As for the symmetry: F-43m (216).


two.
Computed, not measured: an optimized crystal structure of CePuTl4 at the PBE level of DFT.

extended XYZ file:
```
6
Lattice="-2.7440 -1.9927 -4.0590 3.3986 -3.6332 -3.9600 -3.8934 -4.7834 1.5342" Properties=species:S:1:pos:R:3 pbc="T T T"
Ce -1.6194 -5.2046 -3.2424
Tl -1.9227 -3.1254 -0.6120
Tl -1.3162 -7.2838 -5.8727
Tl 0.2828 -2.0994 -2.6067
Tl -3.5217 -8.3098 -3.8781
Pu 0.0000 0.0000 0.0000
```

Values from the calculation:
As for the symmetry: C2/m (12).


Top of the stability list: two, leading by 92 meV per atom.


one.
Computed, not measured: an optimized crystal structure of Ce2PuTl at the PBE level of DFT.

extended XYZ file:
```
4
Lattice="-0.4073 0.7635 -3.7949 -3.6583 -1.3233 0.1264 -2.3697 6.7041 1.6032" Properties=species:S:1:pos:R:3 pbc="T T T"
Ce -0.6222 1.7603 0.4209
Ce -1.7475 4.9438 1.1822
Pu -3.2177 3.0721 -1.0327
Tl -2.0328 -0.2799 -1.8342
```

Values from the calculation:
As for the symmetry: P4/mmm (123).


two.
Computed, not measured: an optimized crystal structure of Ce2PuTl at the PBE level of DFT.

extended XYZ file:
```
8
Lattice="3.6795 0.1721 0.4265 0.3904 6.7782 2.3117 -0.6724 -1.2392 7.7078" Properties=species:S:1:pos:R:3 pbc="T T T"
Pu 2.0322 5.0210 9.3915
Pu 1.3652 0.6899 1.0545
Ce 2.4731 1.1746 8.3257
Ce 2.6438 5.9293 5.1535
Ce 0.9243 4.5364 2.1202
Ce 0.7537 -0.2183 5.2925
Tl 0.6871 3.4629 6.5047
Tl 2.7104 2.2481 3.9413
```

Values from the calculation:
As for the symmetry: P-1 (2).


Top of the stability list: one, leading by 34 meV per atom.


one.
Computed, not measured: an optimized crystal structure of Ce2PuTl at the PBE level of DFT.

extended XYZ file:
```
4
Lattice="-3.3576 -4.2023 0.2579 1.2672 -4.2778 3.0156 -2.7223 -0.9969 4.5381" Properties=species:S:1:pos:R:3 pbc="T T T"
Ce -3.6095 -7.1078 5.8587
Ce -1.2032 -2.3693 1.9529
Tl -2.4063 -4.7385 3.9058
Pu 0.0000 0.0000 0.0000
```

Values from the calculation:
As for the symmetry: Fm-3m (225).


two.
Computed, not measured: an optimized crystal structure of Ce2PuTl at the PBE level of DFT.

extended XYZ file:
```
4
Lattice="-2.5988 -1.2851 2.2300 -2.1450 -2.7556 -1.0881 3.9919 -6.9702 3.6350" Properties=species:S:1:pos:R:3 pbc="T T T"
Ce 2.9653 -5.9344 3.0356
Ce -0.5818 -2.3553 0.9642
Tl -0.3681 -5.5133 2.3930
Pu -3.1433 -2.7133 0.7725
```

Values from the calculation:
As for the symmetry: R3m (160).


Top of the stability list: one, leading by 245 meV per atom.


one.
Computed, not measured: an optimized crystal structure of CePuTl2 at the PBE level of DFT.

extended XYZ file:
```
4
Lattice="4.8310 0.0000 0.0000 0.0000 4.7706 0.0000 0.0000 0.0000 4.7706" Properties=species:S:1:pos:R:3 pbc="T T T"
Ce 2.4155 0.0000 0.0000
Pu 2.4155 2.3853 2.3853
Tl 0.0000 2.3853 0.0000
Tl 0.0000 0.0000 2.3853
```

Values from the calculation:
As for the symmetry: P4/mmm (123).


two.
Computed, not measured: an optimized crystal structure of CePuTl2 at the PBE level of DFT.

extended XYZ file:
```
4
Lattice="5.4708 0.0000 0.0000 2.7354 4.7379 0.0000 2.7354 1.5793 4.4669" Properties=species:S:1:pos:R:3 pbc="T T T"
Tl 2.7354 1.5793 1.1167
Tl 8.2062 4.7379 3.3502
Pu 0.0000 0.0000 0.0000
Ce 5.4708 3.1586 2.2335
```

Values from the calculation:
As for the symmetry: Fm-3m (225).


three.
Computed, not measured: an optimized crystal structure of CePuTl2 at the PBE level of DFT.

extended XYZ file:
```
4
Lattice="-1.7854 -1.4963 -2.4537 1.7259 -2.8680 0.4931 -6.5321 -2.8183 6.4716" Properties=species:S:1:pos:R:3 pbc="T T T"
Pu -0.0297 -2.1822 -0.9803
Ce -3.2958 -3.5913 2.2555
Tl -4.9112 -2.1189 4.8657
Tl -1.6210 -0.6994 1.6059
```

Values from the calculation:
As for the symmetry: P4/mmm (123).


Top of the stability list: one, leading by 20 meV per atom.


one.
Computed, not measured: an optimized crystal structure of Ce8PuTl2 at the PBE level of DFT.

extended XYZ file:
```
11
Lattice="4.9371 -1.1719 -0.9139 -1.6824 7.7101 -4.5714 -1.1153 -0.5130 9.0369" Properties=species:S:1:pos:R:3 pbc="T T T"
Ce 3.3909 -0.4892 1.7871
Ce -1.2581 5.4048 -2.0026
Ce 3.2553 1.4772 -1.4671
Ce -0.5565 6.4663 0.6581
Ce -0.9343 3.5381 2.1769
Ce 2.2716 5.0790 2.9744
Ce -0.3570 3.5729 5.4464
Ce -0.9336 0.7002 5.7830
Tl 1.5433 1.6304 3.5622
Tl 1.3823 3.9657 -0.3026
Pu 0.0002 6.2220 3.7597
```

Values from the calculation:
As for the symmetry: Cm (8).


two.
Computed, not measured: an optimized crystal structure of Ce8PuTl2 at the PBE level of DFT.

extended XYZ file:
```
11
Lattice="6.3052 -0.2661 -0.1859 0.9584 7.6482 0.9581 0.9584 3.5317 6.8513" Properties=species:S:1:pos:R:3 pbc="T T T"
Pu 0.0000 0.0000 0.0000
Ce 6.5948 5.6659 6.2562
Ce 5.9528 10.0620 7.0286
Ce 6.5948 7.8239 3.1668
Ce 2.2693 0.8518 0.5950
Ce 1.6272 5.2479 1.3674
Ce 1.6272 3.0899 4.4568
Ce 2.6604 5.5411 3.8706
Ce 5.5617 5.3727 3.7530
Tl 4.0739 7.8165 5.4600
Tl 4.1482 3.0974 2.1636
```

Values from the calculation:
As for the symmetry: C2/m (12).


Top of the stability list: two, leading by 132 meV per atom.


one.
Computed, not measured: an optimized crystal structure of Ce2TmPu at the PBE level of DFT.

extended XYZ file:
```
4
Lattice="-0.3286 -0.0707 3.5472 1.2649 -2.7690 1.8515 8.9226 3.5802 2.6873" Properties=species:S:1:pos:R:3 pbc="T T T"
Ce 3.8489 -1.3085 5.6990
Ce 6.0100 2.0490 2.3870
Tm 0.0000 0.0000 0.0000
Pu 4.9295 0.3703 4.0430
```

Values from the calculation:
As for the symmetry: R-3m (166).


two.
Computed, not measured: an optimized crystal structure of Ce2TmPu at the PBE level of DFT.

extended XYZ file:
```
4
Lattice="4.6974 0.0000 0.0000 0.0000 4.8604 0.0000 0.0000 0.0000 4.8604" Properties=species:S:1:pos:R:3 pbc="T T T"
Tm 2.3487 0.0000 0.0000
Ce 0.0000 2.4302 0.0000
Ce 0.0000 0.0000 2.4302
Pu 2.3487 2.4302 2.4302
```

Values from the calculation:
As for the symmetry: P4/mmm (123).


Top of the stability list: two, leading by 357 meV per atom.


one.
Computed, not measured: an optimized crystal structure of Ce2TmPu at the PBE level of DFT.

extended XYZ file:
```
4
Lattice="-3.1333 -0.2880 -1.2348 1.0882 -2.3004 -2.2247 -1.8462 -6.9776 6.3118" Properties=species:S:1:pos:R:3 pbc="T T T"
Ce -1.4184 -5.3607 4.8492
Ce -0.4278 -1.6169 1.4626
Pu -1.0225 -1.2942 -1.7298
Tm -1.9457 -4.7829 1.4261
```

Values from the calculation:
As for the symmetry: P4/mmm (123).


two.
Computed, not measured: an optimized crystal structure of Ce2TmPu at the PBE level of DFT.

extended XYZ file:
```
4
Lattice="-4.3490 0.2276 -3.2742 -4.2699 -3.2594 0.9115 -4.6838 2.0946 1.8335" Properties=species:S:1:pos:R:3 pbc="T T T"
Ce -3.3257 -0.2343 -0.1323
Ce -9.9770 -0.7029 -0.3969
Pu -6.6513 -0.4686 -0.2646
Tm 0.0000 0.0000 0.0000
```

Values from the calculation:
As for the symmetry: Fm-3m (225).


Top of the stability list: one, leading by 82 meV per atom.


one.
Computed, not measured: an optimized crystal structure of CeTm2Pu at the PBE level of DFT.

extended XYZ file:
```
4
Lattice="3.4498 0.0000 0.0000 1.7249 2.9876 0.0000 1.7249 0.9959 11.3648" Properties=species:S:1:pos:R:3 pbc="T T T"
Tm 1.7249 0.9959 2.7934
Tm 1.7249 0.9959 8.5706
Pu 3.4498 1.9917 0.0136
Ce 3.4498 1.9917 5.6696
```

Values from the calculation:
As for the symmetry: R3m (160).


two.
Computed, not measured: an optimized crystal structure of CeTm2Pu at the PBE level of DFT.

extended XYZ file:
```
4
Lattice="5.5213 0.0000 0.0000 2.7606 4.7816 0.0000 2.7606 1.5939 4.5081" Properties=species:S:1:pos:R:3 pbc="T T T"
Ce 0.0000 0.0000 0.0000
Pu 5.5213 3.1877 2.2541
Tm 2.7606 1.5939 1.1270
Tm 8.2819 4.7816 3.3811
```

Values from the calculation:
As for the symmetry: Fm-3m (225).


Top of the stability list: one, leading by 120 meV per atom.


one.
Computed, not measured: an optimized crystal structure of CeTmPu at the PBE level of DFT.

extended XYZ file:
```
6
Lattice="3.4158 0.0000 0.0000 1.7079 2.9581 0.0000 1.7079 0.9860 16.5988" Properties=species:S:1:pos:R:3 pbc="T T T"
Pu 5.1237 2.9581 4.2297
Pu 1.7079 0.9861 12.3691
Ce 1.7079 0.9860 6.8981
Ce 5.1237 2.9581 9.7007
Tm 3.4158 1.9721 1.4288
Tm 3.4158 1.9721 15.1700
```

Values from the calculation:
As for the symmetry: R-3m (166).


two.
Computed, not measured: an optimized crystal structure of CeTmPu at the PBE level of DFT.

extended XYZ file:
```
3
Lattice="-0.7480 -2.9566 -1.1404 2.0047 1.3881 -4.9139 3.2829 -2.2798 3.7573" Properties=species:S:1:pos:R:3 pbc="T T T"
Ce 2.3582 -3.0281 0.1067
Tm 2.3059 -0.3281 -2.2139
Pu -0.1245 -0.4921 -0.1898
```

Values from the calculation:
As for the symmetry: P-6m2 (187).


three.
Computed, not measured: an optimized crystal structure of CeTmPu at the PBE level of DFT.

extended XYZ file:
```
3
Lattice="-2.3119 -0.4902 2.4941 -1.7035 -2.2035 -2.0121 5.8803 -3.9705 2.3036" Properties=species:S:1:pos:R:3 pbc="T T T"
Pu -0.7812 -3.0308 1.0469
Ce 0.0764 -0.1049 0.0502
Tm 2.5698 -3.5284 1.6885
```

Values from the calculation:
As for the symmetry: I4mm (107).


Top of the stability list: three, leading by 35 meV per atom.


one.
Computed, not measured: an optimized crystal structure of Ce4PuZn2 at the PBE level of DFT.

extended XYZ file:
```
14
Lattice="3.6916 0.0000 0.0000 0.0000 8.0624 0.0000 0.0000 0.0000 12.2227" Properties=species:S:1:pos:R:3 pbc="T T T"
Zn 1.8458 0.5081 1.8746
Zn 1.8458 7.5544 10.3480
Zn 1.8458 4.5393 4.2367
Zn 1.8458 3.5231 7.9860
Pu 0.0000 4.0312 0.0000
Pu 0.0000 0.0000 6.1113
Ce 0.0000 1.0052 8.3351
Ce 1.8458 1.6303 5.3934
Ce 1.8458 6.4321 6.8293
Ce 0.0000 7.0572 3.8875
Ce 1.8458 2.4009 11.5047
Ce 0.0000 3.0260 2.2238
Ce 0.0000 5.0364 9.9989
Ce 1.8458 5.6615 0.7180
```

Values from the calculation:
As for the symmetry: Pbam (55).


two.
Computed, not measured: an optimized crystal structure of Ce4PuZn2 at the PBE level of DFT.

extended XYZ file:
```
28
Lattice="-0.9302 5.8170 2.3626 0.4616 -3.2220 8.1147 12.5742 1.9817 0.0716" Properties=species:S:1:pos:R:3 pbc="T T T"
Pu 5.8666 4.0989 5.0062
Pu 6.2390 0.4778 5.5428
Pu 12.1940 3.4487 9.0983
Pu -0.0884 1.1280 1.4507
Ce 1.4613 -1.0809 7.4994
Ce 10.6443 5.6576 3.0496
Ce 4.3506 1.3490 6.9573
Ce 8.2157 0.3466 2.4215
Ce 4.6364 4.7745 2.8583
Ce 1.4246 2.5352 2.8846
Ce 4.9150 1.1108 3.4630
Ce 0.9639 5.4163 4.0548
Ce 10.6810 2.0415 7.6644
Ce 7.7550 3.2277 3.5917
Ce 3.8899 4.2301 8.1275
Ce 11.1417 -0.8396 6.4942
Ce 0.6064 2.4920 6.8914
Ce 11.4992 2.0847 3.6576
Ce 7.1906 3.4659 7.0860
Ce 7.4692 -0.1978 7.6907
Zn 2.4792 1.8180 9.2882
Zn 9.9408 4.4569 5.7288
Zn 8.1995 2.5351 9.7750
Zn 3.9062 2.0416 0.7740
Zn 9.0705 1.0237 5.3137
Zn 3.0351 3.5530 5.2353
Zn 9.6264 2.7587 1.2608
Zn 2.1648 0.1198 4.8201
```

Values from the calculation:
As for the symmetry: Pnma (62).


Top of the stability list: two, leading by 75 meV per atom.


one.
Computed, not measured: an optimized crystal structure of CePu2Zr at the PBE level of DFT.

extended XYZ file:
```
4
Lattice="-1.0694 3.0453 0.6539 -2.1124 1.4787 -2.0485 -9.1107 -2.4827 4.9557" Properties=species:S:1:pos:R:3 pbc="T T T"
Pu -9.2204 1.5305 2.6716
Pu -3.0721 0.5108 0.8896
Ce -6.1462 1.0207 1.7806
Zr 0.0000 0.0000 0.0000
```

Values from the calculation:
As for the symmetry: R-3m (166).


two.
Computed, not measured: an optimized crystal structure of CePu2Zr at the PBE level of DFT.

extended XYZ file:
```
4
Lattice="3.2346 0.0000 0.0000 0.0000 3.2346 0.0000 0.0000 0.0000 9.2437" Properties=species:S:1:pos:R:3 pbc="T T T"
Zr 1.6173 1.6173 0.0000
Pu 0.0000 0.0000 6.9039
Pu 0.0000 0.0000 2.3398
Ce 1.6173 1.6173 4.6219
```

Values from the calculation:
As for the symmetry: P4/mmm (123).


Top of the stability list: two, leading by 29 meV per atom.


one.
Computed, not measured: an optimized crystal structure of RbCe4Se6 at the PBE level of DFT.

extended XYZ file:
```
22
Lattice="4.2953 0.0000 0.0000 -2.1477 7.0703 0.0000 0.0000 0.0000 22.2043" Properties=species:S:1:pos:R:3 pbc="T T T"
Se 2.1477 0.0000 0.0000
Se 2.1477 2.2089 16.6532
Se 2.1477 0.0000 11.1021
Se 2.1477 3.8180 9.2890
Se 0.0000 0.5103 3.3998
Se 0.0000 3.2523 20.3911
Se 2.1477 3.8180 1.8131
Se 2.1477 6.5600 14.5020
Se 0.0000 4.8614 5.5511
Se 0.0000 0.5103 7.7023
Se 2.1477 6.5600 18.8044
Se 0.0000 3.2523 12.9153
Rb 2.1477 2.2361 5.5511
Rb 0.0000 4.8342 16.6532
Ce 2.1477 5.1612 21.3026
Ce 2.1477 5.1612 12.0038
Ce 0.0000 5.6977 8.2256
Ce 0.0000 1.9091 0.9016
Ce 0.0000 5.6977 2.8765
Ce 0.0000 1.9091 10.2005
Ce 2.1477 1.3726 13.9786
Ce 2.1477 1.3726 19.3277
```

Values from the calculation:
As for the symmetry: Cmcm (63).


two.
Computed, not measured: an optimized crystal structure of RbCe4Se6 at the PBE level of DFT.

extended XYZ file:
```
11
Lattice="-7.5234 1.2450 -1.5162 1.6820 -3.2591 6.8556 4.4451 6.3009 0.9949" Properties=species:S:1:pos:R:3 pbc="T T T"
Se 0.5362 1.7862 3.1665
Se -2.9207 -1.0071 2.6697
Se -4.2647 1.3428 0.1797
Se 4.6513 3.5587 4.5249
Se -1.5391 3.7729 -0.2606
Se 3.8079 0.6408 6.3137
Ce 1.9391 -0.5710 4.2454
Ce -2.1823 2.0310 2.2842
Ce 2.9742 3.0102 2.0499
Ce 1.9997 2.8583 5.6053
Rb 0.0000 0.0000 0.0000
```

Values from the calculation:
As for the symmetry: I-42m (121).


Top of the stability list: one, leading by 271 meV per atom.